{
  "formula": "Ca3Ag7Ge4",
  "functional": "PBE-GGA",
  "state": "optimized geometry",
  "ef_kcal_per_mol_atoms": -6.368,
  "total_magnetization_mub_per_atom": 0.000,
  "e_tot_ev_per_fu": -48.30,
  "lattice_angstrom": [[8.214, -2.225, 0.000], [8.214, 2.225, 0.000], [-5.570, 0.000, 7.981]],
  "species": ["Ca", "Ca", "Ca", "Ag", "Ag", "Ag", "Ag", "Ag", "Ag", "Ag", "Ge", "Ge", "Ge", "Ge"],
  "fractional_positions": [[0.000, 0.000, 0.000], [0.312, 0.312, 0.313], [0.688, 0.688, 0.687], [0.000, 0.000, 0.500], [0.148, 0.148, 0.410], [0.315, 0.315, 0.972], [0.494, 0.494, 0.717], [0.506, 0.506, 0.283], [0.685, 0.685, 0.028], [0.852, 0.852, 0.590], [0.115, 0.115, 0.831], [0.329, 0.329, 0.712], [0.671, 0.671, 0.288], [0.885, 0.885, 0.169]]
}